(1)
Tc3BrO | PBE | relaxed

```
Tc3BrO
1.0
-1.971 -3.608 -0.633
1.327 -0.034 -3.942
3.414 -2.069 1.167
Tc Br O
3 1 1
Direct
0.500 0.000 0.000
0.000 0.000 0.500
0.000 0.500 0.000
0.500 0.500 0.500
0.000 0.000 0.000
```

spin magnetization: 1.0 Bohr magnetons per cell
formation energy (no corrections): 783.1 meV/atom
energy above the lowest structure with this stoichiometry: 0 meV/atom
DOS at the Fermi energy: 7.48 states/eV per cell
SG: No. 221
crystal system: cubic

(2)
Tc2Br3O8 | PBE | relaxed

```
Tc2Br3O8
1.0
-3.876 -7.292 -1.634
1.816 -6.844 4.552
-4.873 -3.327 4.724
O Tc Br
8 2 3
Direct
0.284 0.616 0.815
0.284 0.284 0.815
0.256 0.256 0.233
0.716 0.716 0.185
0.716 0.384 0.185
0.616 0.284 0.815
0.744 0.744 0.767
0.384 0.716 0.185
0.361 0.361 0.917
0.639 0.639 0.083
0.853 0.853 0.441
0.000 0.000 0.000
0.147 0.147 0.559
```

spin magnetization: 1.1 Bohr magnetons per cell
formation energy (no corrections): -730.4 meV/atom
DOS at the Fermi energy: 6.86 states/eV per cell
SG: No. 166
crystal system: trigonal

(3)
TcBrO2 | PBE | relaxed

```
TcBrO2
1.0
-4.636 3.446 1.591
-0.086 -2.607 5.394
0.325 3.358 4.955
O Br Tc
4 2 2
Direct
0.375 0.126 0.750
0.875 0.124 0.750
0.876 0.625 0.250
0.874 0.125 0.250
0.500 0.500 0.000
0.250 0.750 0.500
0.000 0.000 0.000
0.750 0.250 0.500
```

spin magnetization: 0.0 Bohr magnetons per cell
formation energy (no corrections): -728.7 meV/atom
energy above the lowest structure with this stoichiometry: 0 meV/atom
DOS at the Fermi energy: 13.27 states/eV per cell
SG: No. 227
crystal system: cubic

(4)
TcBrO2 | PBE | relaxed

```
TcBrO2
1.0
1.968 0.830 3.401
-1.466 2.733 2.552
-1.517 -1.162 3.533
Br O Tc
1 2 1
Direct
0.000 0.000 0.000
0.250 0.250 0.250
0.750 0.750 0.750
0.500 0.500 0.500
```

spin magnetization: 0.0 Bohr magnetons per cell
formation energy (no corrections): 664.9 meV/atom
energy above the lowest structure with this stoichiometry: 1394 meV/atom
DOS at the Fermi energy: 3.27 states/eV per cell
SG: No. 225
crystal system: cubic

(5)
TcBrO2 | PBE | relaxed

```
TcBrO2
1.0
1.665 0.000 8.673
-0.833 1.442 8.673
-0.833 -1.442 8.673
O Br Tc
2 1 1
Direct
0.121 0.121 0.121
0.879 0.879 0.879
0.000 0.000 0.000
0.500 0.500 0.500
```

spin magnetization: 0.0 Bohr magnetons per cell
formation energy (no corrections): -656.1 meV/atom
energy above the lowest structure with this stoichiometry: 73 meV/atom
DOS at the Fermi energy: 3.30 states/eV per cell
SG: No. 166
crystal system: trigonal

(6)
Tc2Br2O7 | PBE | relaxed

```
Tc2Br2O7
1.0
5.016 -0.639 -0.134
-0.807 8.161 -2.856
-0.250 -1.452 7.431
O Br Tc
7 2 2
Direct
0.000 0.000 0.000
0.893 0.604 0.700
0.965 0.841 0.548
0.035 0.159 0.452
0.107 0.396 0.300
0.408 0.827 0.764
0.592 0.173 0.236
0.641 0.609 0.156
0.359 0.391 0.844
0.065 0.816 0.749
0.935 0.184 0.251
```

spin magnetization: 0.1 Bohr magnetons per cell
formation energy (no corrections): -1002.2 meV/atom
SG: No. 2
crystal system: triclinic

(7)
Tc2BrO7 | PBE | relaxed

```
Tc2BrO7
1.0
-3.671 -0.123 -0.889
1.920 -6.052 -7.086
-2.200 -0.922 9.211
Tc Br O
2 1 7
Direct
0.500 0.609 0.391
0.500 0.391 0.609
0.000 0.000 0.000
0.000 0.404 0.596
0.000 0.596 0.404
0.500 0.500 0.500
0.500 0.473 0.144
0.500 0.527 0.856
0.500 0.856 0.527
0.500 0.144 0.473
```

spin magnetization: 1.0 Bohr magnetons per cell
formation energy (no corrections): -898.0 meV/atom
DOS at the Fermi energy: 7.65 states/eV per cell
SG: No. 65
crystal system: orthorhombic

(8)
TcBrO4 | PBE | relaxed

```
TcBrO4
1.0
0.672 -7.412 0.518
8.187 1.105 5.188
-4.627 3.940 6.463
O Tc Br
16 4 4
Direct
0.455 0.297 0.357
0.679 0.394 0.116
0.545 0.797 0.143
0.890 0.321 0.540
0.321 0.606 0.884
0.110 0.821 0.960
0.292 0.596 0.184
0.292 0.904 0.684
0.455 0.203 0.857
0.321 0.894 0.384
0.708 0.096 0.316
0.679 0.106 0.616
0.545 0.703 0.643
0.708 0.404 0.816
0.110 0.679 0.460
0.890 0.179 0.040
0.682 0.204 0.456
0.682 0.296 0.956
0.318 0.704 0.044
0.318 0.796 0.544
0.169 0.238 0.195
0.169 0.262 0.695
0.831 0.762 0.805
0.831 0.738 0.305
```

spin magnetization: 0.0 Bohr magnetons per cell
formation energy (no corrections): -891.1 meV/atom
SG: No. 14
crystal system: monoclinic

| no. | density (g cm⁻³) |
| --- | --- |
| 1 | 9.00 |
| 2 | 2.63 |
| 3 | 4.58 |
| 4 | 7.61 |
| 5 | 5.58 |
| 6 | 2.79 |
| 7 | 2.66 |
| 8 | 2.77 |